No. 1
Below is a geometry-optimized YScSe2O structure, with properties calculated at the GGA-PBE level.

N(E_F)   2.3 states/eV/cell
Final energy   -7.27 eV per atom
SG   No. 129
Total magnetic moment   0.00 μB per formula unit

Cell: 3.884 3.884 13.953 Å, 90.00 90.00 90.00°
Positions (direct):
Y 0.250 0.250 0.081
Y 0.750 0.750 0.919
Sc 0.250 0.250 0.619
Sc 0.750 0.750 0.381
Se 0.250 0.250 0.411
Se 0.250 0.250 0.797
Se 0.750 0.750 0.203
Se 0.750 0.750 0.589
O 0.250 0.750 0.000
O 0.750 0.250 0.000

No. 2
Below is a geometry-optimized Y2ScSe2O2 structure, with properties calculated at the GGA-PBE level.

N(E_F)   2.5 states/eV/cell
Final energy   -7.60 eV per atom
SG   No. 139
Total magnetic moment   0.00 μB per formula unit

Cell: 8.085 8.085 8.085 Å, 150.81 150.81 41.75°
Positions (direct):
Y 0.122 0.122 0.000
Y 0.878 0.878 0.000
Sc 0.500 0.500 0.000
Se 0.320 0.320 0.000
Se 0.680 0.680 0.000
O 0.000 0.500 0.500
O 0.500 0.000 0.500